A relaxed structure of RbMo3P2O14. Source: Alexandria via LeMat-Bulk, functional PBEsol.

Lattice parameters (Å, degrees): 6.4028 9.0904 10.6580 110.92 90.00 90.00
Closest atoms and distances in Å follow each position.
Fractional coordinates of all 40 atoms:
Mo  0.7500  0.6489  0.1149  2 O 1.69
O  0.7500  0.1289  0.5508  1 Mo 1.67
O  0.4404  0.2889  0.1964  1 P 1.54
O  0.2500  0.2998  0.6857  1 P 1.53
O  0.5585  0.7061  0.5213  1 P 1.55
O  0.7500  0.5438  0.9140  1 P 1.55
O  0.9645  0.7610  0.1223  1 Mo 1.69
O  0.4415  0.2939  0.4787  1 P 1.55
O  0.7500  0.1677  0.3057  2 Mo 1.86-1.91
O  0.0596  0.2889  0.1964  1 P 1.54
O  0.2500  0.8957  0.9634  1 Mo 1.67
O  0.7500  0.4353  0.1136  2 Mo 1.86-1.94
P  0.2500  0.3955  0.2043  4 O 1.54-1.55
O  0.4645  0.2390  0.8777  1 Mo 1.69
P  0.7500  0.6390  0.4306  4 O 1.53-1.55
Mo  0.7500  0.2753  0.4909  2 O 1.67-1.86
O  0.7500  0.4585  0.3829  1 P 1.53
Mo  0.2500  0.7331  0.8254  2 O 1.67-1.86
O  0.2500  0.5415  0.6171  1 P 1.53
P  0.2500  0.3610  0.5694  4 O 1.53-1.55
O  0.5355  0.7610  0.1223  1 Mo 1.69
O  0.2500  0.5380  0.3366  1 P 1.54
O  0.7500  0.4620  0.6634  1 P 1.54
O  0.9404  0.7111  0.8036  1 P 1.54
O  0.0585  0.2939  0.4787  1 P 1.55
O  0.2500  0.8323  0.6943  2 Mo 1.86-1.91
O  0.0355  0.2390  0.8777  1 Mo 1.69
O  0.7500  0.7002  0.3143  1 P 1.53
Mo  0.2500  0.7247  0.5091  2 O 1.67-1.86
O  0.2500  0.5647  0.8864  2 Mo 1.86-1.94
P  0.7500  0.6045  0.7957  4 O 1.54-1.55
O  0.2500  0.8711  0.4492  1 Mo 1.67
O  0.9415  0.7061  0.5213  1 P 1.55
Rb  0.2500  0.0112  0.2466  8 O 2.82-3.11
Mo  0.7500  0.2669  0.1746  2 O 1.67-1.86
Mo  0.2500  0.3511  0.8851  2 O 1.69
O  0.2500  0.4562  0.0860  1 P 1.55
Rb  0.7500  0.9888  0.7534  8 O 2.82-3.11
O  0.5596  0.7111  0.8036  1 P 1.54
O  0.7500  0.1043  0.0366  1 Mo 1.67

Properties
* mass density: 3.78 g cm⁻³
* ΔE_f (raw): -2.1014 eV per atom
* total DFT energy (no corrections): -0.30030 Ha/atom